[1]
The following is a DFT calculation (PBE-GGA) of a relaxed Nd2MnAl crystal.

Output
D(E_F)	4.92	states/eV per cell
DFT formation energy	0.004	eV/atom
energy above the lowest structure with this stoichiometry	0.0123	eV/atom

Cell: 5.254 5.254 5.254 Å, 60.00 60.00 60.00°
Each line ends with the local moment (μB).
Atoms (fractional coordinates):
1 Al 0.000 0.000 0.000  0.02
2 Mn 0.500 0.500 0.500  3.73
3 Nd 0.750 0.750 0.750  -0.19
4 Nd 0.250 0.250 0.250  -0.19

---

[2]
The following is a DFT calculation (PBE-GGA) of a relaxed AcAgI2O crystal.

Cell: 4.285 4.285 16.919 Å, 90.00 90.00 90.00°
Atoms (fractional coordinates):
1 I 0.000 0.500 0.101
2 I 0.500 0.000 0.899
3 I 0.500 0.000 0.311
4 I 0.000 0.500 0.689
5 Ac 0.000 0.500 0.425
6 Ac 0.500 0.000 0.575
7 O 0.000 0.000 0.500
8 O 0.500 0.500 0.500
9 Ag 0.000 0.500 0.926
10 Ag 0.500 0.000 0.074

---

[3]
The following is a DFT calculation (PBE-GGA) of a relaxed Li2Mg2H5 crystal.

Output
D(E_F)	1.21	states/eV per cell

Cell: 4.947 5.004 8.161 Å, 107.85 107.64 90.00°
Atoms (fractional coordinates):
1 Li 0.350 0.939 0.740
2 Li 0.890 0.439 0.740
3 Li 0.650 0.199 0.260
4 Li 0.110 0.699 0.260
5 H 0.041 0.963 0.500
6 H 0.780 0.849 0.120
7 H 0.959 0.463 0.500
8 H 0.549 0.313 0.768
9 H 0.281 0.045 0.232
10 H 0.719 0.813 0.768
11 H 0.840 0.349 0.120
12 H 0.160 0.229 0.880
13 H 0.451 0.545 0.232
14 H 0.220 0.729 0.880
15 Mg 0.000 0.028 0.000
16 Mg 0.500 0.528 0.000
17 Mg 0.699 0.771 0.500
18 Mg 0.301 0.271 0.500

---

| no. | total DFT energy (no corrections) (eV per atom) | density (g cm⁻³) | total magnetization (μB per formula unit) |
| --- | --- | --- | --- |
| 1 | -5.61 | 6.00 | 3.31 |
| 2 | -4.73 | 6.46 | 0.00 |
| 3 | -2.79 | 1.23 | 0.00 |